Record 1
Material: CaAs3W
Method: DFT, PBE
State: relaxed Values from VASP.

## Properties
density = 6.1 Mg/m³
formation energy from the elements = -0.8 kcal/mol of atoms
energy relative to the lowest polymorph listed for this composition = 0 meV/atom

```
&SYSTEM
  ibrav = 0, nat = 5, ntyp = 3
/
ATOMIC_SPECIES
Ca 40.08 Ca.upf
As 74.92 As.upf
W 183.84 W.upf
CELL_PARAMETERS angstrom
4.949 0.000 0.000
0.000 4.949 0.000
0.000 0.000 4.949
ATOMIC_POSITIONS crystal
Ca 0.000 0.000 0.000
As 0.000 0.500 0.500
As 0.500 0.000 0.500
As 0.500 0.500 0.000
W 0.500 0.500 0.500
```

***

Record 2
Material: Ca2AsW2
Method: DFT, PBE
State: relaxed Values from VASP.

## Properties
density = 7.0 Mg/m³
formation energy from the elements = 36.0 kcal/mol of atoms
energy relative to the lowest polymorph listed for this composition = 1206 meV/atom

```
&SYSTEM
  ibrav = 0, nat = 5, ntyp = 3
/
ATOMIC_SPECIES
Ca 40.08 Ca.upf
As 74.92 As.upf
W 183.84 W.upf
CELL_PARAMETERS angstrom
-2.109 2.109 6.956
2.109 -2.109 6.956
2.109 2.109 -6.956
ATOMIC_POSITIONS crystal
Ca 0.250 0.750 0.500
Ca 0.750 0.250 0.500
As 0.000 0.000 0.000
W 0.420 0.420 0.000
W 0.580 0.580 0.000
```

***

formation energy from the elements of number 2 (Ca2AsW2)? 36.0 kcal/mol of atoms

***

Copy entry 2 word for word.
Material: Ca2AsW2
Method: DFT, PBE
State: relaxed Values from VASP.

## Properties
density = 7.0 Mg/m³
formation energy from the elements = 36.0 kcal/mol of atoms
energy relative to the lowest polymorph listed for this composition = 1206 meV/atom

```
&SYSTEM
  ibrav = 0, nat = 5, ntyp = 3
/
ATOMIC_SPECIES
Ca 40.08 Ca.upf
As 74.92 As.upf
W 183.84 W.upf
CELL_PARAMETERS angstrom
-2.109 2.109 6.956
2.109 -2.109 6.956
2.109 2.109 -6.956
ATOMIC_POSITIONS crystal
Ca 0.250 0.750 0.500
Ca 0.750 0.250 0.500
As 0.000 0.000 0.000
W 0.420 0.420 0.000
W 0.580 0.580 0.000
```